The following is a DFT calculation (PBE-GGA) of a relaxed structure of BaY3S.

abc: 5.685 5.685 5.685
angles: 90.00 90.00 90.00
Sites, in units of the cell vectors:
Ba 0.000 0.000 0.000
Y 0.000 0.000 0.500
Y 0.000 0.500 0.000
S 0.500 0.500 0.500
Y 0.500 0.000 0.000

Calculated density, g/cm³: 3.94
ΔE to the lowest computed polymorph, kJ/mol of atoms: 168.0
ΔE_f (raw), meV per atom: 1203
Total DFT energy (no corrections), eV/atom: -3.89


The following is a DFT calculation (PBE-GGA) of a relaxed structure of BaY2ZrS.

abc: 5.785 5.155 5.785
angles: 90.00 90.00 90.00
Sites, in units of the cell vectors:
Y 0.000 0.000 0.500
S 0.500 0.500 0.500
Y 0.500 0.000 0.000
Zr 0.000 0.500 0.000
Ba 0.000 0.000 0.000

Calculated density, g/cm³: 4.22
ΔE_f (raw), meV per atom: 1414
Total DFT energy (no corrections), eV/atom: -4.09


The following is a DFT calculation (PBE-GGA) of a relaxed structure of Ba2ZnS.

abc: 4.432 4.432 10.813
angles: 78.17 78.17 60.00
Each line ends with the local moment (μB).
Sites, in units of the cell vectors:
Ba 0.890 0.890 0.329  0.10
S 0.500 0.500 0.500  -0.01
Zn 0.000 0.000 0.000  0.04
Ba 0.110 0.110 0.671  0.10

Calculated density, g/cm³: 3.46
ΔE to the lowest computed polymorph, kJ/mol of atoms: 1.2
ΔE_f (raw), meV per atom: -696
Total DFT energy (no corrections), eV/atom: -3.01


The following is a DFT calculation (PBE-GGA) of a relaxed structure of Ba2ZnS.

abc: 5.627 5.627 5.627
angles: 60.00 60.00 60.00
Sites, in units of the cell vectors:
S 0.000 0.000 0.000
Zn 0.500 0.500 0.500
Ba 0.250 0.250 0.250
Ba 0.750 0.750 0.750

Calculated density, g/cm³: 4.91
ΔE to the lowest computed polymorph, kJ/mol of atoms: 0.0
ΔE_f (raw), meV per atom: -709
Total DFT energy (no corrections), eV/atom: -3.02


The following is a DFT calculation (PBE-GGA) of a relaxed structure of BaZn3S.

abc: 6.195 6.195 6.195
angles: 90.00 90.00 90.00
Each line ends with the local moment (μB).
Sites, in units of the cell vectors:
S 0.500 0.500 0.500  -0.28
Zn 0.500 0.000 0.000  0.01
Ba 0.000 0.000 0.000  0.08
Zn 0.000 0.500 0.000  0.01
Zn 0.000 0.000 0.500  0.01

Calculated density, g/cm³: 2.55
ΔE to the lowest computed polymorph, kJ/mol of atoms: 78.9
ΔE_f (raw), meV per atom: 936
Total DFT energy (no corrections), eV/atom: -1.04


The following is a DFT calculation (PBE-GGA) of a relaxed structure of BaZnS2.

abc: 7.759 7.759 7.759
angles: 36.99 36.99 36.99
Sites, in units of the cell vectors:
Ba 0.500 0.500 0.500
Zn 0.000 0.000 0.000
S 0.902 0.902 0.902
S 0.098 0.098 0.098

Calculated density, g/cm³: 2.92
ΔE_f (raw), meV per atom: -1277
Total DFT energy (no corrections), eV/atom: -4.14


The following is a DFT calculation (PBE-GGA) of a relaxed structure of BaZnS2.

abc: 7.151 7.151 6.454
angles: 56.36 56.36 90.00
Sites, in units of the cell vectors:
Ba 0.000 0.000 0.000
S 0.541 0.125 0.250
Ba 0.750 0.250 0.500
Zn 0.500 0.500 0.000
S 0.209 0.625 0.250
S 0.375 0.459 0.750
S 0.875 0.791 0.750
Zn 0.250 0.750 0.500

Calculated density, g/cm³: 4.32
ΔE_f (raw), meV per atom: -1348
Total DFT energy (no corrections), eV/atom: -4.21


The following is a DFT calculation (PBE-GGA) of a relaxed structure of BaZn3S.

abc: 5.114 5.114 5.114
angles: 90.00 90.00 90.00
Sites, in units of the cell vectors:
Zn 0.000 0.000 0.500
Zn 0.000 0.500 0.000
Zn 0.500 0.000 0.000
Ba 0.500 0.500 0.500
S 0.000 0.000 0.000

Calculated density, g/cm³: 4.54
ΔE to the lowest computed polymorph, kJ/mol of atoms: 0.0
ΔE_f (raw), meV per atom: 118
Total DFT energy (no corrections), eV/atom: -1.86